This record from Alexandria describes crystalline HfZr3Os at its relaxed geometry. The functional is PBEsol.

```
HfZr3Os
1.0
-3.275 -3.437 -1.228
1.037 -2.458 4.114
-3.499 2.488 2.369
Os Zr Hf
1 3 1
Direct
0.500 0.500 0.500 Os
0.000 0.500 0.000 Zr
0.000 0.000 0.500 Zr
0.500 0.000 0.000 Zr
0.000 0.000 0.000 Hf
```

## Properties
energy above the lowest structure with this stoichiometry: 1190 meV/atom
Fermi-level density of states: 6.2 states/eV/cell
symmetry: Pm-3m, No. 221
energy of formation: 1696 meV/atom

***

This record from Alexandria describes crystalline ZrCr5P3 at its relaxed geometry. The functional is PBEsol.

```
ZrCr5P3
1.0
-3.491 0.173 1.159
1.027 -5.254 3.878
2.302 6.728 5.932
Cr Zr P
10 2 6
Direct
0.250 0.456 0.071 Cr
0.750 0.909 0.907 Cr
0.250 0.841 0.494 Cr
0.750 0.544 0.929 Cr
0.250 0.680 0.722 Cr
0.750 0.159 0.506 Cr
0.250 0.091 0.093 Cr
0.750 0.604 0.487 Cr
0.250 0.396 0.513 Cr
0.750 0.320 0.278 Cr
0.750 0.811 0.221 Zr
0.250 0.189 0.779 Zr
0.250 0.558 0.312 P
0.750 0.239 0.014 P
0.750 0.442 0.688 P
0.750 0.906 0.660 P
0.250 0.094 0.340 P
0.250 0.761 0.986 P
```

## Properties
Fermi-level density of states: 13.1 states/eV/cell
symmetry: P2_1/m, No. 11
energy of formation: -673 meV/atom

***

This record from Alexandria describes crystalline As2PW at its relaxed geometry. The functional is PBEsol.

```
As2PW
1.0
3.215 0.000 0.000
-1.607 4.079 -0.037
0.000 -0.724 5.482
As W P
2 1 1
Direct
0.738 0.476 0.292 As
0.963 0.926 0.957 As
0.258 0.516 0.662 W
0.541 0.082 0.588 P
```

## Properties
Fermi-level density of states: 1.3 states/eV/cell
symmetry: Cm, No. 8
energy of formation: 64 meV/atom

***

This record from Alexandria describes crystalline Er10Ga5Co at its relaxed geometry. The functional is PBEsol.

```
Er10Ga5Co
1.0
7.295 0.022 0.000
-0.132 7.294 0.000
-3.581 -3.658 6.990
Ga Er Co
5 10 1
Direct
0.117 0.883 0.000 Ga
0.248 0.752 0.500 Ga
0.374 0.379 0.000 Ga
0.621 0.626 0.000 Ga
0.748 0.252 0.500 Ga
0.181 0.528 0.710 Er
0.689 0.690 0.708 Er
0.824 0.467 0.291 Er
0.981 0.982 0.292 Er
0.310 0.311 0.292 Er
0.533 0.176 0.709 Er
0.990 0.478 0.000 Er
0.472 0.819 0.290 Er
0.018 0.019 0.708 Er
0.522 0.010 0.000 Er
0.873 0.127 0.000 Co
```

## Properties
Fermi-level density of states: 13.3 states/eV/cell
symmetry: Fmm2, No. 42
energy of formation: -458 meV/atom

***

This record from Alexandria describes crystalline TlHSe2N at its relaxed geometry. The functional is PBEsol.

```
TlHSe2N
1.0
-1.146 3.084 2.851
3.088 -2.426 3.865
4.326 3.040 -1.549
H Se N Tl
1 2 1 1
Direct
0.500 0.500 0.500 H
0.000 0.500 0.000 Se
0.000 0.000 0.500 Se
0.500 0.000 0.000 N
0.000 0.000 0.000 Tl
```

## Properties
Fermi-level density of states: 4.4 states/eV/cell
DFT total energy: -2.666 eV/atom
symmetry: P4/mmm, No. 123

***

This record from Alexandria describes crystalline BeSi2W at its relaxed geometry. The functional is PBEsol.

```
BeSi2W
1.0
2.753 0.058 0.000
-0.522 4.611 0.000
-1.115 -2.334 4.183
Si W Be
2 1 1
Direct
0.000 0.000 0.500 Si
0.500 0.500 0.500 Si
0.000 0.000 0.000 W
0.500 0.500 0.000 Be
```

## Properties
Fermi-level density of states: 1.5 states/eV/cell
raw formation energy: 237 meV/atom
symmetry: C2/m, No. 12

***

This record from Alexandria describes crystalline BaSeI2 at its relaxed geometry. The functional is PBEsol.

```
BaSeI2
1.0
4.724 0.000 0.000
0.000 4.724 0.000
-2.362 -2.362 12.757
I Ba Se
4 2 2
Direct
0.625 0.624 0.750 I
0.376 0.875 0.250 I
0.874 0.375 0.250 I
0.125 0.126 0.750 I
0.250 0.750 0.500 Ba
0.000 0.000 0.000 Ba
0.500 0.500 0.000 Se
0.750 0.250 0.500 Se
```

## Properties
Fermi-level density of states: 5.1 states/eV/cell
raw formation energy: -821 meV/atom
symmetry: I-42d, No. 122

***

This record from Alexandria describes crystalline LaRh2Au at its relaxed geometry. The functional is PBEsol.

```
LaRh2Au
1.0
3.455 0.000 0.000
0.000 3.455 0.000
0.000 0.000 6.018
Rh Au La
2 1 1
Direct
0.000 0.000 0.233 Rh
0.000 0.000 0.767 Rh
0.500 0.500 0.000 Au
0.500 0.500 0.500 La
```

## Properties
Fermi-level density of states: 2.3 states/eV/cell
symmetry: P4/mmm, No. 123
energy of formation: -209 meV/atom

***

This record from Alexandria describes crystalline YHgPb2 at its relaxed geometry. The functional is PBEsol.

```
YHgPb2
1.0
-3.273 2.752 -1.381
-2.804 -3.497 -0.322
1.607 1.079 5.651
Pb Y Hg
2 1 1
Direct
0.000 0.000 0.000 Pb
0.750 0.250 0.500 Pb
0.500 0.500 0.000 Y
0.250 0.750 0.500 Hg
```

## Properties
Fermi-level density of states: 2.3 states/eV/cell
symmetry: I-4m2, No. 119
energy of formation: -349 meV/atom

***

This record from Alexandria describes crystalline TlSb2Os at its relaxed geometry. The functional is PBEsol.

```
TlSb2Os
1.0
3.161 0.000 0.000
0.000 3.161 0.000
0.000 0.000 9.279
Tl Os Sb
1 1 2
Direct
0.500 0.500 0.000 Tl
0.500 0.500 0.500 Os
0.000 0.000 0.316 Sb
0.000 0.000 0.684 Sb
```

## Properties
energy above the lowest structure with this stoichiometry: 0 meV/atom
Fermi-level density of states: 3.0 states/eV/cell
raw formation energy: 209 meV/atom
symmetry: P4/mmm, No. 123

***

This record from Alexandria describes crystalline SrFe2W at its relaxed geometry. The functional is PBEsol.

```
SrFe2W
1.0
3.460 0.000 -0.034
0.000 3.668 0.000
-1.669 0.000 5.988
Sr Fe W
1 2 1
Direct
0.543 0.000 0.461 Sr
0.896 0.500 0.167 Fe
0.797 0.000 0.969 Fe
0.264 0.500 0.903 W
```

## Properties
Fermi-level density of states: 4.3 states/eV/cell
symmetry: Amm2, No. 38
energy of formation: 752 meV/atom

***

This record from Alexandria describes crystalline SrCuTe2N at its relaxed geometry. The functional is PBEsol.

```
SrCuTe2N
1.0
3.631 0.000 0.000
0.000 5.602 0.000
0.000 0.000 5.602
Te N Sr Cu
2 1 1 1
Direct
0.000 0.500 0.000 Te
0.000 0.000 0.500 Te
0.500 0.000 0.000 N
0.500 0.500 0.500 Sr
0.000 0.000 0.000 Cu
```

## Properties
Fermi-level density of states: 3.2 states/eV/cell
raw formation energy: 9 meV/atom
symmetry: P4/mmm, No. 123